[1]
# MgVNiS4 | the Alexandria database | PBE | optimized geometry
data_MgVNiS4
_symmetry_space_group_name_H-M 'I m m a'
_symmetry_Int_Tables_number 74
_symmetry_space_group_name_Hall '-I 2b 2'
_cell_length_a 6.929
_cell_length_b 7.129
_cell_length_c 10.332
_cell_angle_alpha 90.00
_cell_angle_beta 90.00
_cell_angle_gamma 90.00
loop_
_atom_site_label
_atom_site_fract_x
_atom_site_fract_y
_atom_site_fract_z
Mg1 0.000 0.250 0.123
V1 0.250 0.250 0.750
Ni1 0.000 0.000 0.500
S1 0.000 0.018 0.732
S2 0.217 0.250 0.516
# **Energy relative to the elements, uncorrected**: -0.730 eV per atom


[2]
# NdScPt | the Alexandria database | PBE | optimized geometry
data_NdScPt
_symmetry_space_group_name_H-M 'F -4 3 m'
_symmetry_Int_Tables_number 216
_symmetry_space_group_name_Hall 'F -4 2 3'
_cell_length_a 6.820
_cell_length_b 6.820
_cell_length_c 6.820
_cell_angle_alpha 90.00
_cell_angle_beta 90.00
_cell_angle_gamma 90.00
loop_
_atom_site_label
_atom_site_fract_x
_atom_site_fract_y
_atom_site_fract_z
Nd1 0.000 0.000 0.000
Sc1 0.000 0.000 0.500
Pt1 0.250 0.250 0.750
# **Energy relative to the lowest polymorph listed for this composition**: 51 kJ/mol of formula units


[3]
# Ce3U5N12 | the Alexandria database | PBE | optimized geometry
data_Ce3U5N12
_symmetry_space_group_name_H-M 'I a -3 d'
_symmetry_Int_Tables_number 230
_symmetry_space_group_name_Hall '-I 4bd 2c 3'
_cell_length_a 13.720
_cell_length_b 13.720
_cell_length_c 13.720
_cell_angle_alpha 90.00
_cell_angle_beta 90.00
_cell_angle_gamma 90.00
loop_
_atom_site_label
_atom_site_fract_x
_atom_site_fract_y
_atom_site_fract_z
Ce1 0.000 0.250 0.125
U1 0.000 0.000 0.000
U2 0.000 0.250 0.375
N1 0.019 0.050 0.651
# **Energy relative to the elements, uncorrected**: -1.226 eV per atom


[4]
Computed, not measured: a relaxed structure of RbTlGe at the PBE level of DFT.

```
data_RbTlGe
_symmetry_space_group_name_H-M 'P n m a'
_symmetry_Int_Tables_number 62
_cell_length_a 8.806
_cell_length_b 5.161
_cell_length_c 8.345
_cell_angle_alpha 90.00
_cell_angle_beta 90.00
_cell_angle_gamma 90.00
loop_
_symmetry_equiv_pos_as_xyz
'x,y,z'
'-x,-y,-z'
'-x+1/2,-y,z+1/2'
'x+1/2,y,-z+1/2'
'x+1/2,-y+1/2,-z+1/2'
'-x+1/2,y+1/2,z+1/2'
'-x,y+1/2,-z'
'x,-y+1/2,z'
loop_
_atom_site_label
_atom_site_fract_x
_atom_site_fract_y
_atom_site_fract_z
Rb1 0.007 0.250 0.171
Tl1 0.162 0.250 0.590
Ge1 0.170 0.750 0.404
```


[5]
# RbH2F4 | the Alexandria database | PBE | optimized geometry
data_RbH2F4
_symmetry_space_group_name_H-M 'P 1'
_symmetry_Int_Tables_number 1
_cell_length_a 5.209
_cell_length_b 5.211
_cell_length_c 9.446
_cell_angle_alpha 74.42
_cell_angle_beta 74.51
_cell_angle_gamma 62.03
loop_
_symmetry_equiv_pos_as_xyz
'x,y,z'
loop_
_atom_site_label
_atom_site_fract_x
_atom_site_fract_y
_atom_site_fract_z
Rb1 0.000 0.000 0.000
Rb2 0.190 0.807 0.500
H1 0.394 0.275 0.276
H2 0.476 0.237 0.805
H3 0.721 0.610 0.725
H4 0.764 0.523 0.195
F1 0.156 0.564 0.270
F2 0.412 0.288 0.906
F3 0.432 0.848 0.729
F4 0.554 0.072 0.288
F5 0.591 0.149 0.658
F6 0.712 0.588 0.094
F7 0.854 0.407 0.342
F8 0.924 0.450 0.715
# **Energy relative to the lowest polymorph listed for this composition**: 0 kJ/mol of formula units


[6]
# BaScPS6 | the Alexandria database | PBE | optimized geometry
data_BaScPS6
_symmetry_space_group_name_H-M 'P 3 1 2'
_symmetry_Int_Tables_number 149
_cell_length_a 6.3587
_cell_length_b 6.3587
_cell_length_c 6.8263
_cell_angle_alpha 90.00
_cell_angle_beta 90.00
_cell_angle_gamma 120.00
loop_
_symmetry_equiv_pos_as_xyz
'x,y,z'
'-y,x-y,z'
'-x+y,-x,z'
'-y,-x,-z'
'-x+y,y,-z'
'x,x-y,-z'
loop_
_atom_site_label
_atom_site_fract_x
_atom_site_fract_y
_atom_site_fract_z
Ba1 0.0000 0.0000 0.0000
Sc1 0.6667 0.3333 0.5000
P1 0.3333 0.6667 0.5000
S1 0.0395 0.3917 0.3091
# **Energy relative to the elements, uncorrected**: -0.709 eV per atom


[7]
Computed, not measured: a relaxed structure of Ce2NpAs2Rh7 at the PBE level of DFT.

```
data_Ce2NpAs2Rh7
_symmetry_space_group_name_H-M 'C 1 2/m 1'
_symmetry_Int_Tables_number 12
_cell_length_a 5.725
_cell_length_b 5.675
_cell_length_c 13.373
_cell_angle_alpha 90.00
_cell_angle_beta 94.46
_cell_angle_gamma 90.00
loop_
_symmetry_equiv_pos_as_xyz
'x,y,z'
'-x,-y,-z'
'-x,y,-z'
'x,-y,z'
'x+1/2,y+1/2,z'
'-x+1/2,-y+1/2,-z'
'-x+1/2,y+1/2,-z'
'x+1/2,-y+1/2,z'
loop_
_atom_site_label
_atom_site_fract_x
_atom_site_fract_y
_atom_site_fract_z
Ce1 0.068 0.000 0.354
Np1 0.000 0.000 0.000
As1 0.046 0.500 0.259
Rh1 0.000 0.500 0.000
Rh2 0.178 0.500 0.440
Rh3 0.223 0.249 0.847
```


[8]
Computed, not measured: a relaxed structure of HfMgP2Pb at the PBE level of DFT.

```
data_HfMgP2Pb
_symmetry_space_group_name_H-M 'P 4/m m m'
_symmetry_Int_Tables_number 123
_symmetry_space_group_name_Hall '-P 4 2'
_cell_length_a 4.982
_cell_length_b 4.982
_cell_length_c 5.500
_cell_angle_alpha 90.00
_cell_angle_beta 90.00
_cell_angle_gamma 90.00
loop_
_atom_site_label
_atom_site_fract_x
_atom_site_fract_y
_atom_site_fract_z
Hf1 0.000 0.000 0.000
Mg1 0.000 0.000 0.500
P1 0.000 0.500 0.000
Pb1 0.500 0.500 0.500
```


[9]
# GdHo2Th | the Alexandria database | PBE | optimized geometry
data_GdHo2Th
_symmetry_space_group_name_H-M 'P 4/m m m'
_symmetry_Int_Tables_number 123
_symmetry_space_group_name_Hall '-P 4 2'
_cell_length_a 5.043
_cell_length_b 5.043
_cell_length_c 4.973
_cell_angle_alpha 90.00
_cell_angle_beta 90.00
_cell_angle_gamma 90.00
loop_
_atom_site_label
_atom_site_fract_x
_atom_site_fract_y
_atom_site_fract_z
Gd1 0.000 0.000 0.000
Ho1 0.000 0.500 0.500
Th1 0.500 0.500 0.000
# **Energy relative to the lowest polymorph listed for this composition**: 7 kJ/mol of formula units


[10]
Computed, not measured: a relaxed structure of MgMn2Tc at the PBE level of DFT.

```
data_MgMn2Tc
_symmetry_space_group_name_H-M 'I m m 2'
_symmetry_Int_Tables_number 44
_cell_length_a 2.914
_cell_length_b 4.375
_cell_length_c 8.664
_cell_angle_alpha 90.00
_cell_angle_beta 90.00
_cell_angle_gamma 90.00
loop_
_symmetry_equiv_pos_as_xyz
'x,y,z'
'-x,-y,z'
'-x,y,z'
'x,-y,z'
'x+1/2,y+1/2,z+1/2'
'-x+1/2,-y+1/2,z+1/2'
'-x+1/2,y+1/2,z+1/2'
'x+1/2,-y+1/2,z+1/2'
loop_
_atom_site_label
_atom_site_fract_x
_atom_site_fract_y
_atom_site_fract_z
Mg1 0.000 0.000 0.000
Mn1 0.000 0.000 0.503
Mn2 0.000 0.500 0.771
Tc1 0.000 0.500 0.227
```


Values for final energy, eV per cell, ordered as above
-152.45, -77.28, -1589.33, -31.67, -54.69, -44.81, -187.62, -24.66, -30.50, -58.67